{"formula": "CrIrAu", "functional": "PBE", "state": "relaxed", "energy_ev_per_cell": -20.8, "polymorph_energy_mev_per_atom": 218, "e_form_ev_per_atom": 0.307, "m_tot_mub_per_fu": 1.49, "lattice": [[-4.013, 1.517, -0.532], [1.918, -2.203, -3.187], [-1.050, -2.414, 1.036]], "species": ["Cr", "Ir", "Au"], "frac_coords": [[0.667, 0.333, 0.500], [0.333, 0.667, 0.500], [0.000, 0.000, 0.000]]}